VASP calculation (PBE) on a relaxed structure of RbOF2.

Cell and atoms, written as POSCAR:
```
RbOF2
1.0
2.118 1.223 5.980
-2.118 1.223 5.980
0.000 -2.445 5.980
Rb O F
1 1 2
direct
0.000 0.000 0.000
0.500 0.500 0.500
0.405 0.405 0.405
0.595 0.595 0.595
```

Calculated values
Total magnetic moment: 0.250 μB/atom
Energy relative to the elements, uncorrected: -0.995 eV per atom
Total DFT energy (no corrections): -13.6 eV per cell